1.
Er2Pd2Pb: single point on PBEsol structure, SCAN.

Summary:
The total energy comes out at -493.8 eV per cell. Its formation energy from the elements is -0.977 eV/atom.

Cell: 7.7626 7.7626 3.4973 Å, 90.00 90.00 90.00°
With the nearest neighbours (Å) after each atom.
Space group P4/mbm (No. 127)
Unique sites:
Er (0.1701, 0.3299, 0.0000) [4 per cell]  6 Pd 2.84-2.91
Pd (0.1255, 0.6255, 0.5000) [4 per cell]  1 Pd 2.75, 6 Er 2.84-2.91, 2 Pb 3.07
Pb (0.0000, 0.0000, 0.5000) [2 per cell]  4 Pd 3.07, 8 Er 3.37



2.
ErPd3: single point on PBEsol structure, SCAN.

Summary:
The total energy comes out at -152.6 eV per cell. Its formation energy from the elements is -0.977 eV/atom.

Cell: 4.0253 4.0253 4.0253 Å, 90.00 90.00 90.00°
With the nearest neighbours (Å) after each atom.
Space group Pm-3m (No. 221)
Unique sites:
Er (0.0000, 0.0000, 0.0000) [1 per cell]  12 Pd 2.85
Pd (0.0000, 0.5000, 0.5000) [3 per cell]  8 Pd 2.85, 4 Er 2.85



3.
ErPd: single point on PBEsol structure, SCAN.

Summary:
The total energy comes out at -85.2 eV per cell. Its formation energy from the elements is -1.024 eV/atom.

Cell: 3.4195 3.4195 3.4195 Å, 90.00 90.00 90.00°
With the nearest neighbours (Å) after each atom.
Space group Pm-3m (No. 221)
Unique sites:
Er (0.0000, 0.0000, 0.0000) [1 per cell]  8 Pd 2.96
Pd (0.5000, 0.5000, 0.5000) [1 per cell]  8 Er 2.96



4.
PmErPd2: single point on PBEsol structure, SCAN.

Summary:
The total energy comes out at -654.4 eV per cell. Its formation energy from the elements is -0.930 eV/atom.

Cell: 6.9633 6.9633 6.9633 Å, 90.00 90.00 90.00°
With the nearest neighbours (Å) after each atom.
Space group Fm-3m (No. 225)
Unique sites:
Pm (0.0000, 0.0000, 0.0000) [4 per cell]  8 Pd 3.02
Er (0.0000, 0.0000, 0.5000) [4 per cell]  8 Pd 3.02
Pd (0.2500, 0.2500, 0.2500) [8 per cell]  4 Er 3.02, 4 Pm 3.02



5.
Er2PdRh: single point on PBEsol structure, SCAN.

Summary:
The total energy comes out at -685.7 eV per cell. Its formation energy from the elements is -1.047 eV/atom.

Cell: 6.7524 6.7524 6.7524 Å, 90.00 90.00 90.00°
With the nearest neighbours (Å) after each atom.
Space group Fm-3m (No. 225)
Unique sites:
Er (0.2500, 0.2500, 0.2500) [8 per cell]  4 Pd 2.92, 4 Rh 2.92
Pd (0.0000, 0.0000, 0.0000) [4 per cell]  8 Er 2.92
Rh (0.0000, 0.0000, 0.5000) [4 per cell]  8 Er 2.92



6.
Er2PdRu: single point on PBEsol structure, SCAN.

Summary:
The total energy comes out at -686.1 eV per cell. Its formation energy from the elements is -0.809 eV/atom.

Cell: 6.7178 6.7178 6.7178 Å, 90.00 90.00 90.00°
With the nearest neighbours (Å) after each atom.
Space group Fm-3m (No. 225)
Unique sites:
Er (0.2500, 0.2500, 0.2500) [8 per cell]  4 Ru 2.91, 4 Pd 2.91
Pd (0.0000, 0.0000, 0.0000) [4 per cell]  8 Er 2.91
Ru (0.0000, 0.0000, 0.5000) [4 per cell]  8 Er 2.91



7.
Er5SbPd2: single point on PBEsol structure, SCAN.

Summary:
The value obtained for the uncorrected formation energy is -0.881 eV/atom. The total energy comes out at -1446.2 eV per cell.

Cell: 7.5630 7.5630 13.3247 Å, 90.00 90.00 90.00°
With the nearest neighbours (Å) after each atom.
Space group I4/mcm (No. 140)
Unique sites:
Er (0.0000, 0.0000, 0.0000) [4 per cell]  4 Pd 2.94
Er (0.1565, 0.3435, 0.1427) [16 per cell]  3 Pd 2.92, 2 Sb 3.19
Sb (0.0000, 0.0000, 0.2500) [4 per cell]  10 Er 3.19-3.33
Pd (0.1358, 0.3642, 0.5000) [8 per cell]  1 Pd 2.90, 8 Er 2.92-2.94



8.
ErSbPd: single point on PBEsol structure, SCAN.

Summary:
The value obtained for the uncorrected formation energy is -1.286 eV/atom. The total energy comes out at -496.9 eV per cell.

Cell: 6.4631 6.4631 6.4631 Å, 90.00 90.00 90.00°
With the nearest neighbours (Å) after each atom.
Space group F-43m (No. 216)
Unique sites:
Er (0.0000, 0.0000, 0.0000) [4 per cell]  4 Pd 2.80
Sb (0.0000, 0.0000, 0.5000) [4 per cell]  4 Pd 2.80
Pd (0.2500, 0.2500, 0.2500) [4 per cell]  4 Sb 2.80, 4 Er 2.80



9.
ErSiPd2: single point on PBEsol structure, SCAN.

Summary:
The value obtained for the uncorrected formation energy is -1.075 eV/atom. The total energy comes out at -520.8 eV per cell.

Cell: 7.1790 6.8939 5.4226 Å, 90.00 90.00 90.00°
With the nearest neighbours (Å) after each atom.
Space group Pnma (No. 62)
Unique sites:
Er (0.0275, 0.2500, 0.1399) [4 per cell]  3 Si 2.91-2.95, 8 Pd 2.93-3.12
Si (0.1207, 0.7500, 0.3595) [4 per cell]  6 Pd 2.45-2.56
Pd (0.1787, 0.0518, 0.5934) [8 per cell]  3 Si 2.45-2.56, 1 Pd 2.73



10.
ErSnPd2: single point on PBEsol structure, SCAN.

Summary:
The total energy comes out at -622.3 eV per cell. Its formation energy from the elements is -0.942 eV/atom.

Cell: 6.6445 6.6445 6.6445 Å, 90.00 90.00 90.00°
With the nearest neighbours (Å) after each atom.
Space group Fm-3m (No. 225)
Unique sites:
Er (0.0000, 0.0000, 0.0000) [4 per cell]  8 Pd 2.88
Sn (0.0000, 0.0000, 0.5000) [4 per cell]  8 Pd 2.88
Pd (0.2500, 0.2500, 0.2500) [8 per cell]  4 Sn 2.88, 4 Er 2.88



11.
Er7Te2Pd2: single point on PBEsol structure, SCAN.

Summary:
The value obtained for the uncorrected formation energy is -0.945 eV/atom. The total energy comes out at -1005.7 eV per cell.

Cell: 3.8584 15.3903 9.4108 Å, 90.00 90.00 90.00°
With the nearest neighbours (Å) after each atom.
Space group Imm2 (No. 44)
Unique sites:
Er (0.0000, 0.0000, 0.0000) [2 per cell]  3 Te 3.16-3.17
Er (0.0000, 0.1297, 0.5830) [4 per cell]  2 Pd 2.82, 3 Te 3.06-3.12
Er (0.0000, 0.3180, 0.3746) [4 per cell]  2 Pd 2.79, 1 Te 3.10
Er (0.0000, 0.3558, 0.7356) [4 per cell]  2 Pd 2.86, 2 Te 3.09
Te (0.0000, 0.0000, 0.3371) [2 per cell]  7 Er 3.06-3.17
Te (0.0000, 0.5000, 0.2344) [2 per cell]  8 Er 3.10-3.16
Pd (0.0000, 0.2365, 0.0698) [4 per cell]  6 Er 2.79-2.86



12.
ErTlPd: single point on PBEsol structure, SCAN.

Summary:
The total energy comes out at -473.3 eV per cell. Its formation energy from the elements is -0.768 eV/atom.

Cell: 7.6129 7.6129 3.7672 Å, 90.00 90.00 120.00°
With the nearest neighbours (Å) after each atom.
Space group P-62m (No. 189)
Unique sites:
Er (0.0000, 0.4050, 0.0000) [3 per cell]  5 Pd 2.98-3.08, 6 Tl 3.13-3.30
Tl (0.0000, 0.7340, 0.5000) [3 per cell]  4 Pd 2.77-2.83
Pd (0.0000, 0.0000, 0.0000) [1 per cell]  6 Tl 2.77, 3 Er 3.08
Pd (0.3333, 0.6667, 0.5000) [2 per cell]  3 Tl 2.83, 6 Er 2.98



13.
Pm3Er: single point on PBEsol structure, SCAN.

Summary:
The calculation puts the energy above the most stable polymorph in this dataset at 0.0021 eV/atom. The total energy comes out at -364.5 eV per cell. Its formation energy from the elements is 0.016 eV/atom.

Cell: 4.9995 4.9995 9.9764 Å, 90.00 90.00 90.00°
With the nearest neighbours (Å) after each atom.
Space group I4/mmm (No. 139)
Unique sites:
Pm (0.0000, 0.0000, 0.0000) [2 per cell]  8 Pm 3.53, 4 Er 3.54
Pm (0.0000, 0.5000, 0.2500) [4 per cell]  4 Er 3.53, 8 Pm 3.53-3.54
Er (0.0000, 0.0000, 0.5000) [2 per cell]  12 Pm 3.53-3.54



14.
Pm3Er: single point on PBEsol structure, SCAN.

Summary:
The calculation puts the energy above the most stable polymorph in this dataset at 0.0088 eV/atom. The total energy comes out at -364.4 eV per cell. Its formation energy from the elements is 0.022 eV/atom.

Cell: 7.1403 7.1403 5.7014 Å, 90.00 90.00 120.00°
With the nearest neighbours (Å) after each atom.
Space group P6_3/mmc (No. 194)
Unique sites:
Pm (0.1671, 0.3342, 0.2500) [6 per cell]  4 Er 3.51-3.57, 8 Pm 3.52-3.58
Er (0.3333, 0.6667, 0.7500) [2 per cell]  12 Pm 3.51-3.57



15.
Pm3Er: single point on PBEsol structure, SCAN.

Summary:
The calculation puts the energy above the most stable polymorph in this dataset at 0.0000 eV/atom. The total energy comes out at -182.2 eV per cell. Its formation energy from the elements is 0.014 eV/atom.

Cell: 4.9936 4.9936 4.9936 Å, 90.00 90.00 90.00°
With the nearest neighbours (Å) after each atom.
Space group Pm-3m (No. 221)
Unique sites:
Pm (0.0000, 0.0000, 0.5000) [3 per cell]  4 Er 3.53, 8 Pm 3.53
Er (0.5000, 0.5000, 0.5000) [1 per cell]  12 Pm 3.53



16.
PmErTl2: single point on PBEsol structure, SCAN.

Summary:
The total energy comes out at -964.9 eV per cell. Its formation energy from the elements is -0.545 eV/atom.

Cell: 7.5031 7.5031 7.5031 Å, 90.00 90.00 90.00°
With the nearest neighbours (Å) after each atom.
Space group Fm-3m (No. 225)
Unique sites:
Pm (0.0000, 0.0000, 0.0000) [4 per cell]  8 Tl 3.25
Er (0.0000, 0.0000, 0.5000) [4 per cell]  8 Tl 3.25
Tl (0.2500, 0.2500, 0.2500) [8 per cell]  4 Er 3.25, 4 Pm 3.25



17.
PmErZn2: single point on PBEsol structure, SCAN.

Summary:
The total energy comes out at -491.8 eV per cell. Its formation energy from the elements is -0.396 eV/atom.

Cell: 7.0583 7.0583 7.0583 Å, 90.00 90.00 90.00°
With the nearest neighbours (Å) after each atom.
Space group Fm-3m (No. 225)
Unique sites:
Pm (0.0000, 0.0000, 0.0000) [4 per cell]  8 Zn 3.06
Er (0.0000, 0.0000, 0.5000) [4 per cell]  8 Zn 3.06
Zn (0.2500, 0.2500, 0.2500) [8 per cell]  4 Pm 3.06, 4 Er 3.06



18.
PrEr3: single point on PBEsol structure, SCAN.

Summary:
The calculation puts the energy above the most stable polymorph in this dataset at 0.0133 eV/atom. The total energy comes out at -388.4 eV per cell. Its formation energy from the elements is 0.031 eV/atom.

Cell: 4.9397 4.9397 9.8144 Å, 90.00 90.00 90.00°
With the nearest neighbours (Å) after each atom.
Space group I4/mmm (No. 139)
Unique sites:
Pr (0.0000, 0.0000, 0.0000) [2 per cell]  12 Er 3.48-3.49
Er (0.0000, 0.0000, 0.5000) [2 per cell]  8 Er 3.48, 4 Pr 3.49
Er (0.0000, 0.5000, 0.2500) [4 per cell]  4 Pr 3.48, 8 Er 3.48-3.49



19.
PrEr3: single point on PBEsol structure, SCAN.

Summary:
The calculation puts the energy above the most stable polymorph in this dataset at 0.0000 eV/atom. The total energy comes out at -388.5 eV per cell. Its formation energy from the elements is 0.018 eV/atom.

Cell: 7.0924 7.0924 5.5790 Å, 90.00 90.00 120.00°
With the nearest neighbours (Å) after each atom.
Space group P6_3/mmc (No. 194)
Unique sites:
Pr (0.3333, 0.6667, 0.2500) [2 per cell]  12 Er 3.47-3.55
Er (0.1651, 0.3302, 0.7500) [6 per cell]  8 Er 3.45-3.58, 4 Pr 3.47-3.55



20.
PrEr3: single point on PBEsol structure, SCAN.

Summary:
The calculation puts the energy above the most stable polymorph in this dataset at 0.0106 eV/atom. The total energy comes out at -194.2 eV per cell. Its formation energy from the elements is 0.029 eV/atom.

Cell: 4.9266 4.9266 4.9266 Å, 90.00 90.00 90.00°
With the nearest neighbours (Å) after each atom.
Space group Pm-3m (No. 221)
Unique sites:
Pr (0.0000, 0.0000, 0.0000) [1 per cell]  12 Er 3.48
Er (0.0000, 0.5000, 0.5000) [3 per cell]  4 Pr 3.48, 8 Er 3.48



21.
PrErS3: single point on PBEsol structure, SCAN.

Summary:
The value obtained for the uncorrected formation energy is -2.379 eV/atom. The total energy comes out at -1075.6 eV per cell.

Cell: 10.8851 3.9228 21.2972 Å, 90.00 101.80 90.00°
With the nearest neighbours (Å) after each atom.
Space group P2_1/m (No. 11)
Unique sites:
Pr (0.0898, 0.2500, 0.3641) [2 per cell]  7 S 2.82-3.02
Pr (0.2030, 0.2500, 0.0374) [2 per cell]  8 S 2.86-3.10
Pr (0.3052, 0.7500, 0.7345) [2 per cell]  7 S 2.86-2.99
Pr (0.3070, 0.2500, 0.2341) [2 per cell]  8 S 2.89-2.93
Er (0.0297, 0.2500, 0.8522) [2 per cell]  6 S 2.62-2.76
Er (0.1794, 0.2500, 0.5464) [2 per cell]  7 S 2.68-2.90
Er (0.4463, 0.2500, 0.9165) [2 per cell]  6 S 2.58-2.75
Er (0.4776, 0.7500, 0.4125) [2 per cell]  7 S 2.69-2.88
S (0.0365, 0.2500, 0.2289) [2 per cell]  2 Er 2.62, 2 Pr 2.82-2.92
S (0.0583, 0.7500, 0.9456) [2 per cell]  2 Er 2.76, 3 Pr 2.94-2.98
S (0.0842, 0.7500, 0.4632) [2 per cell]  3 Er 2.70-2.83, 2 Pr 2.89
S (0.1259, 0.2500, 0.6639) [2 per cell]  1 Er 2.68, 2 Pr 2.95
S (0.2068, 0.7500, 0.1353) [2 per cell]  1 Er 2.64, 4 Pr 2.86-2.92
S (0.2511, 0.7500, 0.3267) [2 per cell]  1 Er 2.75, 4 Pr 2.85-2.93
S (0.2529, 0.2500, 0.8230) [2 per cell]  2 Er 2.58-2.63, 2 Pr 2.86
S (0.3431, 0.7500, 0.5992) [2 per cell]  4 Er 2.73-2.81, 1 Pr 2.99
S (0.3551, 0.7500, 0.9852) [2 per cell]  3 Er 2.68-2.75, 2 Pr 2.93
S (0.3612, 0.2500, 0.4644) [2 per cell]  4 Er 2.69-2.90
S (0.4553, 0.2500, 0.1360) [2 per cell]  2 Er 2.60, 1 Pr 2.89
S (0.4958, 0.2500, 0.7192) [2 per cell]  1 Er 2.88, 4 Pr 2.92-2.93, 1 S 3.11



22.
Pr4Er11S22: single point on PBEsol structure, SCAN.

Summary:
The value obtained for the uncorrected formation energy is -2.387 eV/atom. The total energy comes out at -2054.4 eV per cell.

Cell: 38.5037 3.8885 11.2063 Å, 90.00 91.71 90.00°
With the nearest neighbours (Å) after each atom.
Space group C2/m (No. 12)
Unique sites:
Pr (0.1047, 0.0000, 0.0124) [4 per cell]  8 S 2.88-3.00
Pr (0.1322, 0.5000, 0.6485) [4 per cell]  8 S 2.88-3.20
Er (0.0000, 0.0000, 0.0000) [2 per cell]  6 S 2.68-2.70
Er (0.0382, 0.5000, 0.7309) [4 per cell]  6 S 2.62-2.72
Er (0.0707, 0.0000, 0.3593) [4 per cell]  6 S 2.63-2.71
Er (0.1582, 0.5000, 0.2997) [4 per cell]  6 S 2.61-2.73
Er (0.2024, 0.0000, 0.9407) [4 per cell]  7 S 2.66-2.84
Er (0.2359, 0.5000, 0.6479) [4 per cell]  6 S 2.62-2.72
S (0.0084, 0.0000, 0.2398) [4 per cell]  4 Er 2.67-2.71
S (0.0470, 0.5000, 0.9706) [4 per cell]  3 Er 2.68-2.70, 2 Pr 2.98
S (0.0583, 0.5000, 0.5099) [4 per cell]  3 Er 2.62-2.63
S (0.0874, 0.0000, 0.7552) [4 per cell]  2 Er 2.72, 3 Pr 2.88-2.94
S (0.0929, 0.5000, 0.2112) [4 per cell]  3 Er 2.68-2.71
S (0.1361, 0.0000, 0.4511) [4 per cell]  3 Er 2.69-2.73, 2 Pr 2.95
S (0.1501, 0.5000, 0.9058) [4 per cell]  2 Er 2.82, 3 Pr 2.90-2.95
S (0.1692, 0.0000, 0.1498) [4 per cell]  3 Er 2.61-2.70, 1 Pr 2.88
S (0.1886, 0.0000, 0.6904) [4 per cell]  3 Er 2.71-2.84, 2 Pr 2.94
S (0.2201, 0.5000, 0.4100) [4 per cell]  4 Er 2.65-2.72
S (0.2456, 0.5000, 0.8802) [4 per cell]  4 Er 2.62-2.79



23.
PrErZn2: single point on PBEsol structure, SCAN.

Summary:
The total energy comes out at -488.8 eV per cell. Its formation energy from the elements is -0.373 eV/atom.

Cell: 7.1138 7.1138 7.1138 Å, 90.00 90.00 90.00°
With the nearest neighbours (Å) after each atom.
Space group Fm-3m (No. 225)
Unique sites:
Pr (0.0000, 0.0000, 0.0000) [4 per cell]  8 Zn 3.08
Er (0.0000, 0.0000, 0.5000) [4 per cell]  8 Zn 3.08
Zn (0.2500, 0.2500, 0.2500) [8 per cell]  4 Pr 3.08, 4 Er 3.08